Arrangement P

This record from the Alexandria database describes CaTa2Rh after structural relaxation. The functional is GGA-PBE. Values from VASP.

Properties
Space group   C2/m, No. 12

Geometry as Quantum ESPRESSO input:
```
&SYSTEM
  ibrav = 0, nat = 4, ntyp = 3
/
ATOMIC_SPECIES
Ca 40.08 Ca.upf
Ta 180.95 Ta.upf
Rh 102.91 Rh.upf
CELL_PARAMETERS angstrom
2.712 -5.034 0.000
2.712 5.034 0.000
-0.951 0.000 2.742
ATOMIC_POSITIONS angstrom
Ca 0.000 0.000 0.000
Ta 0.881 2.517 1.371
Ta 0.881 -2.517 1.371
Rh 2.712 0.000 0.000
```



Arrangement Q

This record from the Alexandria database describes CaTa2Rh after structural relaxation. The functional is GGA-PBE. Values from VASP.

Properties
Space group   Fm-3m, No. 225

Geometry as Quantum ESPRESSO input:
```
&SYSTEM
  ibrav = 0, nat = 4, ntyp = 3
/
ATOMIC_SPECIES
Ca 40.08 Ca.upf
Ta 180.95 Ta.upf
Rh 102.91 Rh.upf
CELL_PARAMETERS angstrom
0.000 3.305 3.305
3.305 0.000 3.305
3.305 3.305 0.000
ATOMIC_POSITIONS angstrom
Ca 0.000 0.000 0.000
Ta 1.653 1.653 1.653
Ta 4.958 4.958 4.958
Rh 3.305 3.305 3.305
```



Most stable to least stable, the ends of the list are arrangement P and arrangement Q.